A | Computed, not measured: an optimized crystal structure of CrRe3B at the GGA-PBE level of DFT.

Computed properties:
Space group: No. 221

Structure (POSCAR):
```
CrRe3B
1.0
4.406 0.000 0.000
0.000 4.406 0.000
0.000 0.000 4.406
Re Cr B
3 1 1
direct
0.500 0.000 0.000
0.000 0.500 0.000
0.000 0.000 0.500
0.000 0.000 0.000
0.500 0.500 0.500
```


B | Computed, not measured: an optimized crystal structure of CrRe3B at the GGA-PBE level of DFT.

Computed properties:
Space group: No. 12

Structure (POSCAR):
```
CrRe3B
1.0
4.885 0.344 2.788
0.118 4.896 2.788
0.178 0.186 5.618
Re B Cr
6 2 2
direct
0.990 0.411 0.812
0.589 0.010 0.188
0.411 0.990 0.812
0.523 0.523 0.718
0.010 0.589 0.188
0.477 0.477 0.282
0.214 0.214 0.116
0.786 0.786 0.884
0.076 0.076 0.612
0.924 0.924 0.388
```


Energy relative to the most stable one, in kJ/mol of atoms: A 236.6; B 0.0


A | Computed, not measured: an optimized crystal structure of CrB2Rh at the GGA-PBE level of DFT.

Computed properties:
Space group: No. 122

Structure (POSCAR):
```
CrB2Rh
1.0
4.414 0.000 0.000
0.000 4.414 0.000
2.207 2.207 5.090
B Cr Rh
4 2 2
direct
0.875 0.881 0.750
0.375 0.369 0.750
0.119 0.625 0.250
0.631 0.125 0.250
0.500 0.500 0.000
0.250 0.750 0.500
0.000 0.000 0.000
0.750 0.250 0.500
```


B | Computed, not measured: an optimized crystal structure of CrB2Rh at the GGA-PBE level of DFT.

Computed properties:
Space group: No. 225

Structure (POSCAR):
```
CrB2Rh
1.0
-3.158 -2.070 0.059
-3.372 1.695 -0.130
-2.134 -0.277 -3.103
Cr B Rh
1 2 1
direct
0.000 0.000 0.000
0.750 0.750 0.750
0.250 0.250 0.250
0.500 0.500 0.500
```


Energy relative to the most stable one, in kJ/mol of atoms: A 51.5; B 0.0